# 1
PBE CsTlBi2Pd, relaxed; final energy = -16.4 eV per cell; formation energy = -0.044 eV per atom; crystal system = tetragonal; ρ = 8.02 g cm⁻³; symmetry = No. 123
1.0
5.574 0.000 0.000
0.000 5.574 0.000
0.000 0.000 5.741
Cs Tl Bi Pd
1 1 2 1
Direct
0.500 0.500 0.500
0.000 0.000 0.500
0.000 0.500 0.000
0.500 0.000 0.000
0.000 0.000 0.000

# 2
PBE Cs3Tl2Bi4Pd2, relaxed; final energy = -35.1 eV per cell; formation energy = -0.168 eV per atom; crystal system = trigonal; ρ = 6.94 g cm⁻³; symmetry = No. 164
1.0
4.814 0.000 0.000
-2.407 4.169 0.000
0.000 0.000 22.128
Cs Tl Bi Pd
3 2 4 2
Direct
0.000 0.000 0.700
0.000 0.000 0.000
0.000 0.000 0.300
0.667 0.333 0.819
0.333 0.667 0.181
0.667 0.333 0.128
0.333 0.667 0.872
0.667 0.333 0.572
0.333 0.667 0.428
0.667 0.333 0.452
0.333 0.667 0.548

# 3
PBE CsTl2BiPd, relaxed; final energy = -15.1 eV per cell; formation energy = -0.082 eV per atom; crystal system = tetragonal; ρ = 8.10 g cm⁻³; symmetry = No. 123
1.0
5.572 0.000 0.000
0.000 5.572 0.000
0.000 0.000 5.658
Cs Tl Bi Pd
1 2 1 1
Direct
0.500 0.500 0.500
0.000 0.500 0.000
0.500 0.000 0.000
0.000 0.000 0.500
0.000 0.000 0.000

# 4
PBE Cs3Tl4Bi2Pd2, relaxed; final energy = -31.2 eV per cell; formation energy = -0.092 eV per atom; crystal system = trigonal; ρ = 6.96 g cm⁻³; symmetry = No. 164
1.0
4.890 0.000 0.000
-2.445 4.235 0.000
0.000 0.000 21.287
Cs Tl Bi Pd
3 4 2 2
Direct
0.000 0.000 0.693
0.000 0.000 0.000
0.000 0.000 0.307
0.667 0.333 0.122
0.333 0.667 0.878
0.667 0.333 0.557
0.333 0.667 0.443
0.667 0.333 0.826
0.333 0.667 0.174
0.667 0.333 0.426
0.333 0.667 0.574

# 5
PBE Cs2PmBiS4, relaxed; final energy = -73.2 eV per cell; formation energy (no corrections) = -1.22 eV/atom; crystal system = orthorhombic; ρ = 5.01 g cm⁻³; symmetry = No. 74
1.0
8.886 0.002 -0.020
-0.004 8.886 -0.020
-4.352 -4.355 6.301
Cs Pm Bi S
4 2 2 8
Direct
0.500 0.000 0.000
0.500 0.000 0.500
0.000 0.000 0.500
0.500 0.500 0.000
0.000 0.500 0.000
0.000 0.500 0.500
0.500 0.500 0.500
0.000 0.000 0.000
0.188 0.727 0.957
0.773 0.312 0.543
0.227 0.688 0.457
0.812 0.273 0.043
0.771 0.729 0.962
0.771 0.729 0.538
0.229 0.271 0.462
0.229 0.271 0.038

# 6
PBE Cs2Pm2BiS6, relaxed; final energy = -54.7 eV per cell; formation energy (no corrections) = -1.35 eV/atom; crystal system = monoclinic; ρ = 4.32 g cm⁻³; symmetry = No. 12
1.0
-0.166 -2.204 6.791
5.290 -2.125 -4.301
2.776 8.080 1.423
Cs Pm Bi S
2 2 1 6
Direct
0.832 0.168 0.000
0.168 0.832 0.000
0.333 0.667 0.500
0.667 0.333 0.500
0.000 0.000 0.500
0.736 0.736 0.681
0.061 0.389 0.682
0.264 0.264 0.319
0.389 0.061 0.682
0.939 0.611 0.318
0.611 0.939 0.318

# 7
PBE Cs3Pm3BiS8, relaxed; final energy = -75.9 eV per cell; formation energy (no corrections) = -1.48 eV/atom; crystal system = trigonal; ρ = 4.37 g cm⁻³; symmetry = No. 166
1.0
8.313 0.000 0.000
-4.157 7.198 -0.029
0.000 -4.769 8.266
Cs Pm Bi S
3 3 1 8
Direct
0.000 0.000 0.000
0.000 0.500 0.000
0.500 0.500 0.000
0.500 0.000 0.500
0.500 0.500 0.500
0.000 0.500 0.500
0.000 0.000 0.500
0.272 0.545 0.317
0.728 0.455 0.683
0.777 0.553 0.318
0.223 0.447 0.682
0.777 0.041 0.318
0.223 0.959 0.682
0.265 0.041 0.318
0.735 0.959 0.682

# 8
PBE Cs3PmBi2S6, relaxed; final energy = -53.2 eV per cell; formation energy (no corrections) = -1.12 eV/atom; crystal system = monoclinic; ρ = 5.11 g cm⁻³; symmetry = No. 12
1.0
7.327 -0.001 0.001
-3.663 6.346 0.001
-1.222 -2.115 8.066
Cs Pm Bi S
3 1 2 6
Direct
0.168 0.832 0.500
0.832 0.168 0.500
0.500 0.500 0.500
0.000 0.000 0.000
0.334 0.666 0.000
0.666 0.334 0.000
0.937 0.606 0.812
0.731 0.731 0.188
0.063 0.394 0.188
0.606 0.937 0.812
0.269 0.269 0.812
0.394 0.063 0.188